This record from Alexandria describes a relaxed structure of V2OF5. The functional is PBE+U.

Unit cell a=5.258 b=5.285 c=5.418 alpha=90.77 beta=118.68 gamma=119.19
Atoms (fractional coordinates):
F 0.614 0.515 0.269
V 0.685 0.846 0.528
F 0.794 0.112 0.293
F 0.181 0.684 0.260
F 0.577 0.581 0.767
O 0.740 0.164 0.780
V 0.691 0.330 0.006
F 0.185 0.005 0.801

- E above lowest polymorph (meV/atom) = 0